No. 1
The following is a GGA-PBE calculation of a relaxed KRbTi4P6O24 crystal, from Alexandria via LeMat-Bulk.

Output
The uncorrected formation energy is -2564 meV/atom. The total energy is -7.71 eV/atom. For the density of states at the Fermi level, the calculation gives 0.00 states/eV/atom. Its space group is No. 148.

abc: 9.2514 9.2514 9.2514
angles: 54.45 54.45 54.45
Fractional positions:
O 0.3545 0.2485 0.9896
O 0.4384 0.5637 0.1949
P 0.9698 0.5318 0.2495
O 0.6455 0.7515 0.0104
O 0.4879 0.7622 0.8464
O 0.5616 0.4363 0.8051
O 0.0769 0.2930 0.9255
O 0.5121 0.2378 0.1536
Ti 0.3493 0.3493 0.3493
P 0.4682 0.7505 0.0302
O 0.8051 0.5616 0.4363
Ti 0.6507 0.6507 0.6507
O 0.1949 0.4384 0.5637
O 0.7070 0.0745 0.9231
Ti 0.8504 0.8504 0.8504
O 0.0104 0.6455 0.7515
Ti 0.1496 0.1496 0.1496
O 0.1536 0.5121 0.2378
O 0.7515 0.0104 0.6455
O 0.8464 0.4879 0.7622
O 0.7622 0.8464 0.4879
O 0.2378 0.1536 0.5121
O 0.2930 0.9255 0.0769
O 0.9896 0.3545 0.2485
O 0.4363 0.8051 0.5616
K 0.0000 0.0000 0.0000
Rb 0.5000 0.5000 0.5000
P 0.5318 0.2495 0.9698
P 0.7505 0.0302 0.4682
O 0.0745 0.9231 0.7070
O 0.5637 0.1949 0.4384
O 0.9255 0.0769 0.2930
O 0.2485 0.9896 0.3545
O 0.9231 0.7070 0.0745
P 0.2495 0.9698 0.5318
P 0.0302 0.4682 0.7505


No. 2
The following is a GGA-PBE calculation of a relaxed KRePO2 crystal, from Alexandria via LeMat-Bulk.

Output
The uncorrected formation energy is 1920 meV/atom. The total energy is -3.85 eV/atom. For the density of states at the Fermi level, the calculation gives 0.90 states/eV/atom. For the energy above the most stable polymorph in this dataset, the calculation gives 2685 meV per atom. Its space group is No. 123.

abc: 3.9215 7.6640 3.9215
angles: 90.00 90.00 90.00
Each line ends with the local moment (μB).
Fractional positions:
K 0.0000 0.0000 0.0000  0.06
Re 0.0000 0.5000 0.0000  2.95
O 0.0000 0.0000 0.5000  0.50
O 0.5000 0.0000 0.0000  0.47
P 0.5000 0.5000 0.5000  -0.20


No. 3
The following is a GGA-PBE calculation of a relaxed KRePO2 crystal, from Alexandria via LeMat-Bulk.

Output
The uncorrected formation energy is 1843 meV/atom. The total energy is -3.93 eV/atom. For the density of states at the Fermi level, the calculation gives 0.31 states/eV/atom. For the energy above the most stable polymorph in this dataset, the calculation gives 2608 meV per atom. Its space group is No. 123.

abc: 3.9988 3.9988 6.1691
angles: 90.00 90.00 90.00
Each line ends with the local moment (μB).
Fractional positions:
O 0.0000 0.5000 0.0000  -0.29
Re 0.5000 0.5000 0.5000  3.23
P 0.0000 0.0000 0.5000  -0.33
O 0.5000 0.0000 0.0000  -0.29
K 0.0000 0.0000 0.0000  0.00


No. 4
The following is a GGA-PBE calculation of a relaxed KReP2O8 crystal, from Alexandria via LeMat-Bulk.

Output
The uncorrected formation energy is -1960 meV/atom. The total energy is -7.30 eV/atom. For the density of states at the Fermi level, the calculation gives 0.27 states/eV/atom. Its space group is No. 148.

abc: 4.9173 4.9173 9.0616
angles: 74.26 74.26 60.00
Each line ends with the local moment (μB).
Fractional positions:
P 0.7344 0.7344 0.7968  0.02
O 0.3948 0.7580 0.8653  0.04
P 0.2656 0.2656 0.2032  0.02
O 0.0181 0.6052 0.1347  0.04
O 0.7580 0.9819 0.8653  0.04
O 0.6052 0.2420 0.1347  0.04
Re 0.0000 0.0000 0.0000  1.55
O 0.7923 0.7923 0.6232  0.00
O 0.9819 0.3948 0.8653  0.04
O 0.2077 0.2077 0.3768  0.00
K 0.5000 0.5000 0.5000  0.00
O 0.2420 0.0181 0.1347  0.04


No. 5
The following is a GGA-PBE calculation of a relaxed KRePO2 crystal, from Alexandria via LeMat-Bulk.

Output
The uncorrected formation energy is -765 meV/atom. The total energy is -6.54 eV/atom. For the density of states at the Fermi level, the calculation gives 0.33 states/eV/atom. For the energy above the most stable polymorph in this dataset, the calculation gives 0 meV per atom. Its space group is No. 123.

abc: 4.0008 4.0008 4.7568
angles: 90.00 90.00 90.00
Fractional positions:
P 0.0000 0.0000 0.5000
K 0.5000 0.5000 0.5000
O 0.5000 0.0000 0.0000
Re 0.0000 0.0000 0.0000
O 0.0000 0.5000 0.0000


No. 6
The following is a GGA-PBE calculation of a relaxed KP2RhO crystal, from Alexandria via LeMat-Bulk.

Output
The uncorrected formation energy is 1953 meV/atom. The total energy is -2.89 eV/atom. For the density of states at the Fermi level, the calculation gives 1.07 states/eV/atom. For the energy above the most stable polymorph in this dataset, the calculation gives 1798 meV per atom. Its space group is No. 123.

abc: 5.1037 5.1037 3.9011
angles: 90.00 90.00 90.00
Fractional positions:
O 0.0000 0.0000 0.5000
Rh 0.5000 0.5000 0.5000
P 0.0000 0.5000 0.0000
P 0.5000 0.0000 0.0000
K 0.0000 0.0000 0.0000


No. 7
The following is a GGA-PBE calculation of a relaxed KP2RhO crystal, from Alexandria via LeMat-Bulk.

Output
The uncorrected formation energy is 155 meV/atom. The total energy is -4.69 eV/atom. For the density of states at the Fermi level, the calculation gives 1.21 states/eV/atom. For the energy above the most stable polymorph in this dataset, the calculation gives 0 meV per atom. Its space group is No. 123.

abc: 4.5081 4.5081 4.7893
angles: 90.00 90.00 90.00
Each line ends with the local moment (μB).
Fractional positions:
P 0.5000 0.0000 0.0000  0.01
P 0.0000 0.5000 0.0000  0.01
Rh 0.0000 0.0000 0.0000  -0.01
K 0.5000 0.5000 0.5000  0.00
O 0.0000 0.0000 0.5000  0.11


No. 8
The following is a GGA-PBE calculation of a relaxed KP2RuO8 crystal, from Alexandria via LeMat-Bulk.

Output
The uncorrected formation energy is -1788 meV/atom. The total energy is -6.86 eV/atom. For the density of states at the Fermi level, the calculation gives 0.15 states/eV/atom. Its space group is No. 147.

abc: 4.8680 4.8680 8.6038
angles: 90.00 90.00 120.00
Each line ends with the local moment (μB).
Fractional positions:
P 0.3333 0.6667 0.7008  0.01
Ru 0.0000 0.0000 0.5000  1.85
O 0.6519 0.7051 0.6350  0.13
K 0.0000 0.0000 0.0000  0.00
O 0.2949 0.9467 0.6350  0.13
O 0.3333 0.6667 0.8751  0.06
O 0.9467 0.6519 0.3650  0.13
O 0.6667 0.3333 0.1249  0.06
O 0.0533 0.3481 0.6350  0.13
O 0.7051 0.0533 0.3650  0.13
O 0.3481 0.2949 0.3650  0.13
P 0.6667 0.3333 0.2992  0.01


No. 9
The following is a GGA-PBE calculation of a relaxed K2PSO8 crystal, from Alexandria via LeMat-Bulk.

Output
The uncorrected formation energy is -1507 meV/atom. The total energy is -5.79 eV/atom. For the density of states at the Fermi level, the calculation gives 0.89 states/eV/atom. Its space group is No. 2.

abc: 7.3663 7.5388 7.6696
angles: 89.59 88.89 103.67
Each line ends with the local moment (μB).
Fractional positions:
K 0.5878 0.2791 0.8460  0.00
K 0.9196 0.2281 0.3479  0.00
O 0.7620 0.9572 0.5911  0.45
S 0.9084 0.6899 0.1604  -0.02
O 0.4829 0.1130 0.1834  0.41
O 0.0000 0.3754 0.6901  0.15
S 0.0916 0.3101 0.8396  -0.02
O 0.2439 0.4606 0.9035  0.21
O 0.6631 0.6311 0.7043  0.42
O 0.3369 0.3689 0.2957  0.42
K 0.4122 0.7209 0.1540  0.00
O 0.5171 0.8870 0.8166  0.41
O 0.4454 0.7448 0.5196  0.43
O 0.9509 0.2430 0.9820  0.25
P 0.5958 0.8037 0.6579  -0.04
O 0.0000 0.6246 0.3099  0.15
K 0.0804 0.7719 0.6521  0.00
P 0.4042 0.1963 0.3421  -0.04
O 0.7561 0.5394 0.0965  0.21
O 0.0491 0.7570 0.0180  0.25
O 0.5546 0.2552 0.4804  0.43
O 0.8267 0.8453 0.2119  0.27
O 0.1733 0.1547 0.7881  0.27
O 0.2380 0.0428 0.4089  0.45


No. 10
The following is a GGA-PBE calculation of a relaxed KSbP2O8 crystal, from Alexandria via LeMat-Bulk.

Output
The uncorrected formation energy is -1994 meV/atom. The total energy is -6.64 eV/atom. For the density of states at the Fermi level, the calculation gives 0.00 states/eV/atom. Its space group is No. 148.

abc: 9.1334 9.1334 9.1334
angles: 30.82 30.82 30.82
Fractional positions:
O 0.3960 0.7432 0.9975
O 0.0025 0.6040 0.2568
O 0.2568 0.0025 0.6040
O 0.7917 0.7917 0.7917
K 0.5000 0.5000 0.5000
Sb 0.0000 0.0000 0.0000
O 0.6040 0.2568 0.0025
O 0.9975 0.3960 0.7432
O 0.2083 0.2083 0.2083
P 0.2654 0.2654 0.2654
O 0.7432 0.9975 0.3960
P 0.7346 0.7346 0.7346


No. 11
The following is a GGA-PBE calculation of a relaxed K3SbP2O8 crystal, from Alexandria via LeMat-Bulk.

Output
The uncorrected formation energy is -2059 meV/atom. The total energy is -6.19 eV/atom. For the density of states at the Fermi level, the calculation gives 0.00 states/eV/atom. Its space group is No. 164.

abc: 5.7122 5.7122 7.8341
angles: 90.00 90.00 120.00
Fractional positions:
O 0.3681 0.1840 0.6776
O 0.8160 0.1840 0.6776
O 0.6319 0.8160 0.3224
O 0.6667 0.3333 0.9414
O 0.8160 0.6319 0.6776
Sb 0.0000 0.0000 0.5000
K 0.3333 0.6667 0.7299
P 0.3333 0.6667 0.2521
O 0.3333 0.6667 0.0586
O 0.1840 0.3681 0.3224
K 0.6667 0.3333 0.2701
O 0.1840 0.8160 0.3224
P 0.6667 0.3333 0.7479
K 0.0000 0.0000 0.0000


No. 12
The following is a GGA-PBE calculation of a relaxed KSbPO2 crystal, from Alexandria via LeMat-Bulk.

Output
The uncorrected formation energy is -462 meV/atom. The total energy is -4.57 eV/atom. For the density of states at the Fermi level, the calculation gives 0.38 states/eV/atom. For the energy above the most stable polymorph in this dataset, the calculation gives 0 meV per atom. Its space group is No. 123.

abc: 4.1981 4.1981 5.1901
angles: 90.00 90.00 90.00
Each line ends with the local moment (μB).
Fractional positions:
Sb 0.0000 0.0000 0.0000  -0.02
O 0.0000 0.5000 0.0000  0.08
P 0.0000 0.0000 0.5000  0.53
K 0.5000 0.5000 0.5000  0.04
O 0.5000 0.0000 0.0000  0.08